1.
Material: MnRh3F
Method: DFT, PBE with a Hubbard U
State: relaxed

```
data_MnRh3F
_chemical_formula_sum 'Mn1 Rh3 F1'
_cell_length_a 4.452
_cell_length_b 4.452
_cell_length_c 4.452
_cell_angle_alpha 90.00
_cell_angle_beta 90.00
_cell_angle_gamma 90.00
_space_group_name_H-M_alt 'P m -3 m'
_space_group_IT_number 221
_space_group_name_Hall '-P 4 2 3'
loop_
_atom_site_label
_atom_site_type_symbol
_atom_site_fract_x
_atom_site_fract_y
_atom_site_fract_z
_atom_site_occupancy
Mn1 Mn 0.000 0.000 0.000 1
Rh1 Rh 0.000 0.000 0.500 1
F1 F 0.500 0.500 0.500 1
```

Values from the calculation:
**Offset from the most stable computed form**: 511 meV/atom
**Mass density**: 7200 kg/m3
**Crystal system**: cubic



2.
Material: MnRh2F
Method: DFT, PBE with a Hubbard U
State: relaxed

```
data_MnRh2F
_chemical_formula_sum 'Mn4 Rh8 F4'
_cell_length_a 7.182
_cell_length_b 7.182
_cell_length_c 4.690
_cell_angle_alpha 90.00
_cell_angle_beta 90.00
_cell_angle_gamma 90.00
_space_group_name_H-M_alt 'I -4 2 d'
_space_group_IT_number 122
_space_group_name_Hall 'I -4 2bw'
loop_
_atom_site_label
_atom_site_type_symbol
_atom_site_fract_x
_atom_site_fract_y
_atom_site_fract_z
_atom_site_occupancy
Mn1 Mn 0.000 0.000 0.000 1
Rh1 Rh 0.195 0.250 0.625 1
F1 F 0.000 0.000 0.500 1
```

Values from the calculation:
**Offset from the most stable computed form**: 415 meV/atom
**Mass density**: 7680 kg/m3
**Crystal system**: tetragonal